! CsBeNiBi (PBE, optimized geometry); values from VASP
! - total magnetic moment (μB/cell) = 0.1
&SYSTEM
  ibrav = 0, nat = 4, ntyp = 4
/
ATOMIC_SPECIES
Cs 132.91 Cs.upf
Be 9.01 Be.upf
Ni 58.69 Ni.upf
Bi 208.98 Bi.upf
ATOMIC_POSITIONS crystal
Cs 0.000 0.000 0.000
Be 0.250 0.250 0.250
Ni 0.750 0.750 0.750
Bi 0.500 0.500 0.500
CELL_PARAMETERS angstrom
0.000 3.636 3.636
3.636 0.000 3.636
3.636 3.636 0.000

=====

! CsBeNiBi (PBE, optimized geometry); values from VASP
! - total magnetic moment (μB/cell) = 0.4
&SYSTEM
  ibrav = 0, nat = 4, ntyp = 4
/
ATOMIC_SPECIES
Cs 132.91 Cs.upf
Be 9.01 Be.upf
Ni 58.69 Ni.upf
Bi 208.98 Bi.upf
ATOMIC_POSITIONS crystal
Cs 0.000 0.000 0.000
Be 0.500 0.500 0.500
Ni 0.750 0.750 0.750
Bi 0.250 0.250 0.250
CELL_PARAMETERS angstrom
0.000 3.712 3.712
3.712 0.000 3.712
3.712 3.712 0.000

=====

! CsBeNiBi (PBE, optimized geometry); values from VASP
! - total magnetic moment (μB/cell) = 0.0
&SYSTEM
  ibrav = 0, nat = 4, ntyp = 4
/
ATOMIC_SPECIES
Cs 132.91 Cs.upf
Be 9.01 Be.upf
Ni 58.69 Ni.upf
Bi 208.98 Bi.upf
ATOMIC_POSITIONS crystal
Cs 0.000 0.000 0.000
Be 0.250 0.250 0.250
Ni 0.500 0.500 0.500
Bi 0.750 0.750 0.750
CELL_PARAMETERS angstrom
0.000 3.718 3.718
3.718 0.000 3.718
3.718 3.718 0.000

=====

! CsBeBiPt (PBE, optimized geometry); values from VASP
! - total magnetic moment (μB/cell) = 0.0
&SYSTEM
  ibrav = 0, nat = 4, ntyp = 4
/
ATOMIC_SPECIES
Cs 132.91 Cs.upf
Be 9.01 Be.upf
Bi 208.98 Bi.upf
Pt 195.08 Pt.upf
ATOMIC_POSITIONS crystal
Cs 0.000 0.000 0.000
Be 0.250 0.250 0.250
Bi 0.500 0.500 0.500
Pt 0.750 0.750 0.750
CELL_PARAMETERS angstrom
0.000 3.702 3.702
3.702 0.000 3.702
3.702 3.702 0.000

=====

! CsBeBiPt (PBE, optimized geometry); values from VASP
! - total magnetic moment (μB/cell) = 0.0
&SYSTEM
  ibrav = 0, nat = 4, ntyp = 4
/
ATOMIC_SPECIES
Cs 132.91 Cs.upf
Be 9.01 Be.upf
Bi 208.98 Bi.upf
Pt 195.08 Pt.upf
ATOMIC_POSITIONS crystal
Cs 0.000 0.000 0.000
Be 0.500 0.500 0.500
Bi 0.250 0.250 0.250
Pt 0.750 0.750 0.750
CELL_PARAMETERS angstrom
0.000 3.719 3.719
3.719 0.000 3.719
3.719 3.719 0.000

=====

! BeCuBiIr (PBE, optimized geometry); values from VASP
! - total magnetic moment (μB/cell) = 0.0
&SYSTEM
  ibrav = 0, nat = 4, ntyp = 4
/
ATOMIC_SPECIES
Be 9.01 Be.upf
Cu 63.55 Cu.upf
Bi 208.98 Bi.upf
Ir 192.22 Ir.upf
ATOMIC_POSITIONS crystal
Be 0.000 0.000 0.000
Cu 0.750 0.750 0.750
Bi 0.500 0.500 0.500
Ir 0.250 0.250 0.250
CELL_PARAMETERS angstrom
0.000 3.177 3.177
3.177 0.000 3.177
3.177 3.177 0.000

=====

Density values, unit Mg/m³, following the record order: 7.08, 6.65, 6.62, 8.94, 8.81, 12.27.
Total DFT energy (no corrections) values, unit eV/atom, following the record order: -2.61, -2.36, -2.41, -2.89, -2.69, -4.70.